Below is crystalline Rb2ZrBeAg at its relaxed geometry, with properties calculated at the GGA-PBE level.

Output
DFT formation energy ... 6.1 eV/f.u.
DOS at the Fermi energy ... 1.441 states/eV/atom

POSCAR file:
```
Rb2ZrBeAg
1.0
6.822 0.000 0.000
0.000 4.377 0.000
0.000 0.000 6.822
Zr Be Rb Ag
1 1 2 1
Direct
0.500 0.500 0.500
0.000 0.000 0.000
0.500 0.000 0.000
0.000 0.000 0.500
0.000 0.500 0.000
```


Below is crystalline Li4Pm9Hg11 at its relaxed geometry, with properties calculated at the GGA-PBE level.

Output
DFT formation energy ... -8.9 eV/f.u.
DOS at the Fermi energy ... 0.855 states/eV/atom

POSCAR file:
```
Li4Pm9Hg11
1.0
3.521 0.000 0.000
0.000 12.532 -4.947
0.000 0.375 13.468
Li Pm Hg
4 9 11
Direct
0.500 0.747 0.548
0.500 0.253 0.452
0.500 0.452 0.253
0.500 0.548 0.747
0.500 0.367 0.857
0.500 0.783 0.937
0.500 0.217 0.063
0.500 0.633 0.143
0.500 0.500 0.500
0.500 0.857 0.367
0.500 0.143 0.633
0.500 0.937 0.783
0.500 0.063 0.217
0.000 0.581 0.928
0.000 0.303 0.303
0.000 0.000 0.000
0.000 0.697 0.697
0.000 0.844 0.156
0.000 0.634 0.366
0.000 0.928 0.581
0.000 0.156 0.844
0.000 0.366 0.634
0.000 0.072 0.419
0.000 0.419 0.072
```


Below is crystalline K3PdF4 at its relaxed geometry, with properties calculated at the GGA-PBE level.

Output
Formation energy (no corrections) ... -16.8 eV/f.u.
DOS at the Fermi energy ... 0.016 states/eV/atom

POSCAR file:
```
K3PdF4
1.0
5.056 0.000 0.000
0.000 7.684 0.000
0.000 0.000 9.179
F K Pd
8 6 2
Direct
0.064 0.294 0.233
0.064 0.294 0.767
0.065 0.746 0.500
0.564 0.706 0.733
0.565 0.254 0.000
0.564 0.706 0.267
0.064 0.836 0.000
0.564 0.164 0.500
0.564 0.913 0.000
0.064 0.659 0.771
0.564 0.341 0.271
0.064 0.659 0.229
0.564 0.341 0.729
0.064 0.087 0.500
0.064 0.278 0.000
0.564 0.722 0.500
```


Below is crystalline Cr2ReOs at its relaxed geometry, with properties calculated at the GGA-PBE level.

Output
DFT formation energy ... 0.9 eV/f.u.
DOS at the Fermi energy ... 0.979 states/eV/atom

POSCAR file:
```
Cr2ReOs
1.0
-2.233 8.166 1.129
-2.754 7.224 3.628
-0.233 8.005 2.967
Cr Os Re
2 1 1
Direct
0.255 0.255 0.255
0.994 0.994 0.994
0.505 0.505 0.505
0.746 0.746 0.746
```


Below is crystalline ZrTcPb2 at its relaxed geometry, with properties calculated at the GGA-PBE level.

Output
DFT formation energy ... 0.2 eV/f.u.
DOS at the Fermi energy ... 0.528 states/eV/atom

POSCAR file:
```
ZrTcPb2
1.0
3.434 0.000 0.000
0.000 3.434 0.000
0.000 0.000 8.180
Pb Zr Tc
2 1 1
Direct
0.500 0.500 0.308
0.000 0.000 0.956
0.500 0.500 0.698
0.000 0.000 0.537
```


Below is crystalline SrLa2Sc at its relaxed geometry, with properties calculated at the GGA-PBE level.

Output
DFT formation energy ... 0.7 eV/f.u.
DOS at the Fermi energy ... 1.797 states/eV/atom

POSCAR file:
```
SrLa2Sc
1.0
5.148 0.000 0.000
0.000 3.709 -0.001
0.000 3.709 7.646
La Sc Sr
2 1 1
Direct
0.000 0.965 0.036
0.500 0.248 0.253
0.000 0.527 0.472
0.500 0.761 0.739
```


Below is crystalline LiPmTlSb at its relaxed geometry, with properties calculated at the GGA-PBE level.

Output
Formation energy (no corrections) ... -1.7 eV/f.u.
DOS at the Fermi energy ... 0.761 states/eV/atom

POSCAR file:
```
LiPmTlSb
1.0
-4.401 0.127 2.962
-1.772 -4.435 2.312
0.329 -0.561 5.266
Tl Li Pm Sb
1 1 1 1
Direct
0.000 0.000 0.000
0.750 0.750 0.750
0.250 0.250 0.250
0.500 0.500 0.500
```


Below is crystalline Sm2AgSb3Rh4 at its relaxed geometry, with properties calculated at the GGA-PBE level.

Output
Formation energy (no corrections) ... -6.9 eV/f.u.
DOS at the Fermi energy ... 0.474 states/eV/atom

POSCAR file:
```
Sm2AgSb3Rh4
1.0
-0.284 1.931 3.847
0.314 -3.835 1.948
11.185 1.065 0.291
Sb Ag Rh Sm
3 1 4 2
Direct
0.500 0.000 0.867
0.000 0.000 0.500
0.000 0.500 0.133
0.500 0.500 0.500
0.500 0.000 0.643
0.500 0.500 0.000
0.000 0.500 0.357
0.000 0.000 0.000
0.500 0.000 0.260
0.000 0.500 0.740
```


Below is crystalline Np2SN2 at its relaxed geometry, with properties calculated at the GGA-PBE level.

Output
Formation energy (no corrections) ... -6.6 eV/f.u.
DOS at the Fermi energy ... 2.471 states/eV/atom

POSCAR file:
```
Np2SN2
1.0
-1.777 2.890 1.638
-2.990 -0.462 -2.427
-3.438 -2.294 4.648
Np N S
2 2 1
Direct
0.339 0.201 0.322
0.645 0.700 0.709
0.743 0.200 0.513
0.253 0.701 0.493
0.019 0.199 0.963
```


Below is crystalline Cr2H2Rh5 at its relaxed geometry, with properties calculated at the GGA-PBE level.

Output
DFT total energy ... -7.000 eV/atom
DOS at the Fermi energy ... 0.975 states/eV/atom

POSCAR file:
```
Cr2H2Rh5
1.0
-2.494 0.710 2.791
-1.988 -1.850 -3.906
1.537 -5.269 2.714
H Rh Cr
2 5 2
Direct
0.219 0.437 0.150
0.781 0.563 0.850
0.286 0.572 0.852
0.866 0.733 0.570
0.134 0.267 0.430
0.714 0.428 0.148
0.000 0.000 0.000
0.436 0.873 0.292
0.564 0.127 0.708
```


Below is crystalline La2YHgTe5 at its relaxed geometry, with properties calculated at the GGA-PBE level.

Output
Formation energy (no corrections) ... -10.1 eV/f.u.
DOS at the Fermi energy ... 0.586 states/eV/atom

POSCAR file:
```
La2YHgTe5
1.0
-3.343 -0.810 -2.671
8.238 -3.221 -5.783
-1.247 -13.160 5.553
La Te Hg Y
4 10 2 2
Direct
0.864 0.729 0.851
0.827 0.653 0.149
0.173 0.347 0.649
0.136 0.271 0.351
0.333 0.666 0.320
0.667 0.334 0.820
0.519 0.038 0.309
0.678 0.356 0.194
0.322 0.644 0.694
0.481 0.962 0.809
0.700 0.399 0.491
0.034 0.067 0.551
0.966 0.933 0.051
0.300 0.601 0.991
0.570 0.140 0.063
0.430 0.860 0.563
0.934 0.867 0.396
0.066 0.133 0.896
```


Below is crystalline NaAg2Bi2 at its relaxed geometry, with properties calculated at the GGA-PBE level.

Output
DFT formation energy ... -0.1 eV/f.u.
DOS at the Fermi energy ... 0.236 states/eV/atom

POSCAR file:
```
NaAg2Bi2
1.0
-0.804 -0.514 -4.641
4.401 -1.656 -0.578
-0.324 -7.086 -1.577
Na Ag Bi
1 2 2
Direct
0.000 0.000 0.000
0.750 0.250 0.500
0.250 0.750 0.500
0.382 0.382 0.235
0.618 0.618 0.765
```


Below is crystalline LiCd2InH at its relaxed geometry, with properties calculated at the GGA-PBE level.

Output
DFT total energy ... -1.959 eV/atom
DOS at the Fermi energy ... 0.219 states/eV/atom

POSCAR file:
```
LiCd2InH
1.0
4.930 0.000 0.000
0.000 4.930 0.000
0.000 0.000 3.729
H In Cd Li
1 1 2 1
Direct
0.000 0.000 0.000
0.500 0.500 0.500
0.500 0.000 0.000
0.000 0.500 0.000
0.000 0.000 0.500
```


Below is crystalline La4Pm5Dy2 at its relaxed geometry, with properties calculated at the GGA-PBE level.

Output
DFT formation energy ... 2.7 eV/f.u.
DOS at the Fermi energy ... 1.417 states/eV/atom

POSCAR file:
```
La4Pm5Dy2
1.0
3.547 0.000 0.000
0.000 9.533 0.000
-1.774 -4.766 11.585
La Pm Dy
4 5 2
Direct
0.407 0.407 0.813
0.593 0.593 0.187
0.000 0.290 0.000
0.000 0.710 0.000
0.152 0.949 0.304
0.848 0.646 0.696
0.152 0.354 0.304
0.500 0.000 0.000
0.848 0.051 0.696
0.728 0.728 0.457
0.272 0.272 0.543
```


Below is crystalline Li4MgGa4 at its relaxed geometry, with properties calculated at the GGA-PBE level.

Output
DFT formation energy ... -1.8 eV/f.u.
DOS at the Fermi energy ... 0.368 states/eV/atom

POSCAR file:
```
Li4MgGa4
1.0
-0.988 -1.403 3.658
-4.210 -4.876 -0.775
4.190 -4.703 1.559
Ga Li Mg
4 4 1
Direct
0.326 0.000 0.348
0.674 0.000 0.652
0.326 0.348 0.000
0.674 0.652 0.000
0.000 0.323 0.677
0.323 0.677 0.677
0.677 0.323 0.323
0.000 0.677 0.323
0.000 0.000 0.000
```


Below is crystalline Sb2TeW at its relaxed geometry, with properties calculated at the GGA-PBE level.

Output
Formation energy (no corrections) ... 1.8 eV/f.u.
DOS at the Fermi energy ... 0.636 states/eV/atom

POSCAR file:
```
Sb2TeW
1.0
7.490 0.010 -0.001
5.320 5.272 0.001
-6.079 -3.431 2.715
Sb W Te
2 1 1
Direct
0.913 0.913 0.000
0.272 0.772 0.500
0.735 0.235 0.500
0.581 0.581 0.000
```


Below is crystalline NaCrCuCl6 at its relaxed geometry, with properties calculated at the GGA-PBE level.

Output
Formation energy (no corrections) ... -9.3 eV/f.u.
DOS at the Fermi energy ... 0.649 states/eV/atom

POSCAR file:
```
NaCrCuCl6
1.0
-4.179 -4.524 0.496
2.680 -2.999 -4.771
1.894 -1.109 5.841
Cl Cu Cr Na
6 1 1 1
Direct
0.282 0.975 0.679
0.718 0.705 0.679
0.282 0.321 0.295
0.718 0.975 0.295
0.718 0.321 0.025
0.282 0.705 0.025
0.500 0.667 0.333
0.500 0.000 0.000
0.000 0.333 0.667
```


Below is crystalline IrRhI2O at its relaxed geometry, with properties calculated at the GGA-PBE level.

Output
Formation energy (no corrections) ... 2.2 eV/f.u.
DOS at the Fermi energy ... 1.261 states/eV/atom

POSCAR file:
```
IrRhI2O
1.0
-2.961 -4.602 -0.604
4.401 -3.011 1.371
-0.989 0.170 3.549
I O Ir Rh
2 1 1 1
Direct
0.000 0.500 0.000
0.500 0.000 0.000
0.000 0.000 0.500
0.000 0.000 0.000
0.500 0.500 0.500
```


Below is crystalline Pr3Dy2Pb4 at its relaxed geometry, with properties calculated at the GGA-PBE level.

Output
DFT formation energy ... -4.3 eV/f.u.
DOS at the Fermi energy ... 0.561 states/eV/atom

POSCAR file:
```
Pr3Dy2Pb4
1.0
-3.068 -1.656 -3.803
5.567 -1.006 -4.053
0.444 -6.368 5.913
Pb Dy Pr
4 2 3
Direct
0.494 0.716 0.988
0.756 0.724 0.513
0.244 0.276 0.487
0.506 0.284 0.012
0.666 0.077 0.331
0.334 0.923 0.669
0.120 0.579 0.239
0.000 0.000 0.000
0.880 0.421 0.761
```


Below is crystalline SmHoP2 at its relaxed geometry, with properties calculated at the GGA-PBE level.

Output
DFT formation energy ... -5.7 eV/f.u.
DOS at the Fermi energy ... 0.079 states/eV/atom

POSCAR file:
```
SmHoP2
1.0
4.001 0.000 0.000
2.001 3.465 0.000
2.001 1.155 6.895
P Sm Ho
2 1 1
Direct
0.080 0.080 0.760
0.253 0.253 0.240
0.498 0.498 0.507
0.669 0.669 0.993
```


Below is crystalline Cs2KNaCd at its relaxed geometry, with properties calculated at the GGA-PBE level.

Output
DFT formation energy ... 0.2 eV/f.u.
DOS at the Fermi energy ... 0.862 states/eV/atom

POSCAR file:
```
Cs2KNaCd
1.0
7.563 0.000 0.000
0.000 7.563 0.000
0.000 0.000 6.288
Cd Cs K Na
1 2 1 1
Direct
0.000 0.000 0.000
0.500 0.000 0.000
0.000 0.500 0.000
0.500 0.500 0.500
0.000 0.000 0.500
```


Below is crystalline LiDyErTl at its relaxed geometry, with properties calculated at the GGA-PBE level.

Output
DFT formation energy ... -0.7 eV/f.u.
DOS at the Fermi energy ... 0.720 states/eV/atom

POSCAR file:
```
LiDyErTl
1.0
5.259 0.000 0.000
2.630 4.555 0.000
2.630 1.518 4.294
Er Li Dy Tl
1 1 1 1
Direct
0.250 0.250 0.250
0.000 0.000 0.000
0.750 0.750 0.750
0.500 0.500 0.500
```


Below is crystalline K2TcSbO6 at its relaxed geometry, with properties calculated at the GGA-PBE level.

Output
Formation energy (no corrections) ... -14.5 eV/f.u.
DOS at the Fermi energy ... 0.389 states/eV/atom

POSCAR file:
```
K2TcSbO6
1.0
5.657 0.001 0.000
0.001 5.657 0.000
2.829 2.829 4.003
O K Tc Sb
6 2 1 1
Direct
0.249 0.249 0.502
0.751 0.751 0.498
0.248 0.752 0.000
0.752 0.751 0.000
0.752 0.248 0.000
0.248 0.249 0.000
0.750 0.250 0.500
0.250 0.750 0.500
0.000 0.000 0.000
0.500 0.500 0.000
```


Below is crystalline Ta6Nb2Mo at its relaxed geometry, with properties calculated at the GGA-PBE level.

Output
DFT formation energy ... 7.1 eV/f.u.
DOS at the Fermi energy ... 1.100 states/eV/atom

POSCAR file:
```
Ta6Nb2Mo
1.0
-3.077 -1.674 -2.759
-3.503 -1.758 4.973
0.153 7.650 -1.218
Ta Nb Mo
6 2 1
Direct
0.500 0.243 0.000
0.165 0.918 0.330
0.165 0.411 0.330
0.500 0.757 0.000
0.835 0.082 0.670
0.835 0.589 0.670
0.666 0.666 0.332
0.334 0.334 0.668
0.000 0.000 0.000
```